No. 1
A plane-wave DFT calculation with GGA-PBE was carried out for an optimized crystal structure of BeCoSe2.

Computed properties:
**Size of the total moment**: 4.10 Bohr magnetons per cell
**D(E_F)**: 6.85 states/eV/cell
**DFT total energy**: -4.229 eV per atom

Cell: 3.2944 8.6013 6.7114 Å, 90.00 90.00 90.00°
Closest atoms and distances in Å follow each position.
Space group Cmmm (No. 65)
One atom of each set of equivalent atoms:
Be  0.0000  0.0000  0.0000 (multiplicity 2)  4 Se 2.29
Co  0.0000  0.0000  0.5000 (multiplicity 2)  4 Se 2.42
Se  0.0000  0.5000  0.2365 (multiplicity 4)  2 Be 2.29, 2 Co 2.42

---

No. 2
A plane-wave DFT calculation with GGA-PBE was carried out for an optimized crystal structure of GdHfPd2.

Computed properties:
**Size of the total moment**: 7.11 Bohr magnetons per cell
**D(E_F)**: 2.36 states/eV/cell
**ΔH_f (0 K)**: -670.7 meV per atom
**DFT total energy**: -9.276 eV per atom

Cell: 4.9708 4.9708 3.2425 Å, 90.00 90.00 90.00°
Closest atoms and distances in Å follow each position.
Space group P4/mmm (No. 123)
One atom of each set of equivalent atoms:
Gd  0.0000  0.0000  0.0000 (multiplicity 1)  8 Pd 2.97, 2 Gd 3.24
Hf  0.5000  0.5000  0.0000 (multiplicity 1)  8 Pd 2.97, 2 Hf 3.24
Pd  0.0000  0.5000  0.5000 (multiplicity 2)  4 Hf 2.97, 4 Gd 2.97, 2 Pd 3.24